The following is a GGA-PBE calculation of a relaxed structure of LiBi5Pt3, from OQMD via LeMat-Bulk.

Lattice parameters (Å, degrees): 5.797 5.797 8.447 90.00 90.00 120.00
Fractional coordinates of all 9 atoms:
1 Li 0.000 0.000 0.000
2 Bi 0.000 0.000 0.500
3 Bi 0.333 0.667 0.214
4 Bi 0.333 0.667 0.786
5 Bi 0.667 0.333 0.214
6 Bi 0.667 0.333 0.786
7 Pt 0.000 0.500 0.500
8 Pt 0.500 0.000 0.500
9 Pt 0.500 0.500 0.500

Values from the calculation:
Space-group type: No. 191
Total energy: -0.3369 Ry/atom